(1)
Compound: Re2TeRh
Source: Alexandria via LeMat-Bulk
Functional: PBE
Structure: optimized geometry

CIF file:
```
data_Re2TeRh
_space_group_name_H-M_alt 'R -3 m'
_space_group_IT_number 166
_space_group_name_Hall '-R 3 2"'
_cell_length_a 2.9736
_cell_length_b 2.9736
_cell_length_c 25.7455
_cell_angle_alpha 90.00
_cell_angle_beta 90.00
_cell_angle_gamma 120.00
loop_
_atom_site_label
_atom_site_fract_x
_atom_site_fract_y
_atom_site_fract_z
Re1 0.0000 0.0000 0.2490
Te1 0.0000 0.0000 0.0000
Rh1 0.0000 0.0000 0.5000
```

(2)
Compound: LaPm2CuSe5
Source: Alexandria via LeMat-Bulk
Functional: PBE
Structure: optimized geometry

CIF file:
```
data_LaPm2CuSe5
_space_group_name_H-M_alt 'C m c 21'
_space_group_IT_number 36
_cell_length_a 4.083
_cell_length_b 19.204
_cell_length_c 11.837
_cell_angle_alpha 90.00
_cell_angle_beta 90.00
_cell_angle_gamma 90.00
loop_
_space_group_symop_operation_xyz
'x,y,z'
'-x,-y,z+1/2'
'-x,y,z'
'x,-y,z+1/2'
'x+1/2,y+1/2,z'
'-x+1/2,-y+1/2,z+1/2'
'-x+1/2,y+1/2,z'
'x+1/2,-y+1/2,z+1/2'
loop_
_atom_site_label
_atom_site_fract_x
_atom_site_fract_y
_atom_site_fract_z
La1 0.000 0.196 0.000
Pm1 0.000 0.094 0.674
Pm2 0.000 0.111 0.301
Cu1 0.000 0.434 0.443
Se1 0.000 0.046 0.051
Se2 0.000 0.300 0.684
Se3 0.000 0.328 0.321
Se4 0.000 0.360 0.995
Se5 0.000 0.497 0.771
```

(3)
Compound: SrBiF3
Source: Alexandria via LeMat-Bulk
Functional: PBE
Structure: optimized geometry

CIF file:
```
data_SrBiF3
_space_group_name_H-M_alt 'P m -3 m'
_space_group_IT_number 221
_space_group_name_Hall '-P 4 2 3'
_cell_length_a 4.729
_cell_length_b 4.729
_cell_length_c 4.729
_cell_angle_alpha 90.00
_cell_angle_beta 90.00
_cell_angle_gamma 90.00
loop_
_atom_site_label
_atom_site_fract_x
_atom_site_fract_y
_atom_site_fract_z
Sr1 0.000 0.000 0.000
Bi1 0.500 0.500 0.500
F1 0.000 0.000 0.500
```

(4)
Compound: Os2RuCl
Source: Alexandria via LeMat-Bulk
Functional: PBE
Structure: optimized geometry

CIF file:
```
data_Os2RuCl
_space_group_name_H-M_alt 'P 4/m m m'
_space_group_IT_number 123
_space_group_name_Hall '-P 4 2'
_cell_length_a 2.773
_cell_length_b 2.773
_cell_length_c 7.716
_cell_angle_alpha 90.00
_cell_angle_beta 90.00
_cell_angle_gamma 90.00
loop_
_atom_site_label
_atom_site_fract_x
_atom_site_fract_y
_atom_site_fract_z
Os1 0.000 0.000 0.239
Ru1 0.500 0.500 0.000
Cl1 0.500 0.500 0.500
```

(5)
Compound: AlTcIr2
Source: Alexandria via LeMat-Bulk
Functional: PBE
Structure: optimized geometry

CIF file:
```
data_AlTcIr2
_space_group_name_H-M_alt 'I m m m'
_space_group_IT_number 71
_space_group_name_Hall '-I 2 2'
_cell_length_a 2.908
_cell_length_b 4.462
_cell_length_c 8.805
_cell_angle_alpha 90.00
_cell_angle_beta 90.00
_cell_angle_gamma 90.00
loop_
_atom_site_label
_atom_site_fract_x
_atom_site_fract_y
_atom_site_fract_z
Al1 0.000 0.000 0.000
Tc1 0.000 0.000 0.500
Ir1 0.000 0.500 0.269
```

Results
ΔH_f (0 K)	-1.06	eV/f.u.

(6)
Compound: Rb2Tl6HgPt
Source: Alexandria via LeMat-Bulk
Functional: PBE
Structure: optimized geometry

CIF file:
```
data_Rb2Tl6HgPt
_space_group_name_H-M_alt 'R -3 m'
_space_group_IT_number 166
_space_group_name_Hall '-R 3 2"'
_cell_length_a 7.7543
_cell_length_b 7.7543
_cell_length_c 40.7370
_cell_angle_alpha 90.00
_cell_angle_beta 90.00
_cell_angle_gamma 120.00
loop_
_atom_site_label
_atom_site_fract_x
_atom_site_fract_y
_atom_site_fract_z
Rb1 0.0000 0.0000 0.1019
Rb2 0.0000 0.0000 0.2762
Tl1 0.0522 0.5261 0.3054
Tl2 0.0539 0.5269 0.8612
Hg1 0.0000 0.0000 0.4265
Pt1 0.0000 0.0000 0.0000
Pt2 0.0000 0.0000 0.5000
```

Results
ΔH_f (0 K)	-0.42	eV/f.u.

Number 1: total moment 0.00 μB per cell, VASP energy -98.28 eV/cell. Number 2: total moment 0.00 μB per cell, VASP energy -200.99 eV/cell. Number 3: total moment 0.40 μB per cell, VASP energy -22.80 eV/cell. Number 4: total moment 0.00 μB per cell, VASP energy -30.16 eV/cell. Number 5: total moment 0.00 μB per cell, VASP energy -65.78 eV/cell. Number 6: total moment 0.00 μB per cell, VASP energy -137.34 eV/cell.